{"formula": "NbBAs3", "functional": "SCAN", "state": "PBEsol geometry", "lattice": [[4.9256, 0.0000, 0.0000], [0.0000, 4.9256, 0.0000], [0.0000, 0.0000, 4.9256]], "species": ["As", "B", "Nb", "As", "As"], "frac_coords": [[0.0000, 0.0000, 0.5000], [0.5000, 0.5000, 0.5000], [0.0000, 0.0000, 0.0000], [0.5000, 0.0000, 0.0000], [0.0000, 0.5000, 0.0000]], "spacegroup": "Pm-3m (221)", "total_energy_ev_per_atom": -19.003}